The following is a PBE-GGA calculation of a relaxed Pm6SnIr2Br3 crystal, from Alexandria.

Structure (POSCAR):
```
Pm6SnIr2Br3
1.0
9.829 -2.113 0.000
9.829 2.113 0.000
-2.700 0.000 8.712
Pm Sn Ir Br
6 1 2 3
Direct
0.024 0.024 0.255 Pm
0.320 0.320 0.439 Pm
0.334 0.334 0.864 Pm
0.666 0.666 0.136 Pm
0.680 0.680 0.561 Pm
0.976 0.976 0.745 Pm
0.500 0.500 0.000 Sn
0.170 0.170 0.346 Ir
0.830 0.830 0.654 Ir
0.163 0.163 0.845 Br
0.500 0.500 0.500 Br
0.837 0.837 0.155 Br
```

Calculated values
The calculation puts the density of states at the Fermi level at 5.17 states/eV/f.u. The value obtained for the total energy is -5.657 eV per atom.